The following is a PBE calculation of an optimized crystal structure of SrLiAg, from the Alexandria database.

- ρ: 4.07 g/cm³
- Uncorrected energy: -28.31 eV/cell
- ΔE to the lowest computed polymorph: 0.012 eV/atom
- Space group: P2_1/c (14)
- N(E_F): 6.41 states/eV per cell
- Formation energy from the elements: -0.210 eV/atom

Cell lengths 6.6875, 6.2711, 8.5103 Å; angles 90.00, 112.33, 90.00 degrees
Last column: nearest neighbours and their distance in Å.
Positions (direct):
Sr  0.1876  0.1244  0.3720  5 Ag 3.35-3.42, 6 Li 3.47-3.74
Sr  0.1876  0.3756  0.8720  5 Ag 3.35-3.42, 6 Li 3.47-3.74
Sr  0.8124  0.6244  0.1280  5 Ag 3.35-3.42, 6 Li 3.47-3.74
Sr  0.8124  0.8756  0.6280  5 Ag 3.35-3.42, 6 Li 3.47-3.74
Li  0.4137  0.6029  0.3052  3 Ag 2.78-2.82
Li  0.4137  0.8971  0.8052  3 Ag 2.78-2.82
Li  0.5863  0.1029  0.1948  3 Ag 2.78-2.82
Li  0.5863  0.3971  0.6948  3 Ag 2.78-2.82
Ag  0.2017  0.6273  0.5291  3 Li 2.78-2.82, 1 Ag 3.01
Ag  0.2017  0.8727  0.0291  3 Li 2.78-2.82, 1 Ag 3.01
Ag  0.7983  0.1273  0.9709  3 Li 2.78-2.82, 1 Ag 3.01
Ag  0.7983  0.3727  0.4709  3 Li 2.78-2.82, 1 Ag 3.01

***

The following is a PBE calculation of an optimized crystal structure of AcPm3, from the Alexandria database.

- ρ: 7.44 g/cm³
- Uncorrected energy: -17.79 eV/cell
- ΔE to the lowest computed polymorph: 0.114 eV/atom
- Space group: Fm-3m (225)
- N(E_F): 10.13 states/eV per cell
- Formation energy from the elements: 0.143 eV/atom

Cell lengths 5.9352, 5.9352, 5.9352 Å; angles 60.00, 60.00, 60.00 degrees
Last column: nearest neighbours and their distance in Å.
Positions (direct):
Ac  0.0000  0.0000  0.0000  8 Pm 3.63
Pm  0.2500  0.2500  0.2500  4 Pm 3.63, 4 Ac 3.63
Pm  0.5000  0.5000  0.5000  8 Pm 3.63
Pm  0.7500  0.7500  0.7500  4 Pm 3.63, 4 Ac 3.63